[1]
{
  "formula": "Ca2NiTe",
  "functional": "GGA-PBE",
  "state": "optimized geometry",
  "total_energy_ev_per_atom": -3.33,
  "sg": "F-43m (216)",
  "raw_formation_energy_ev_per_atom": -0.100,
  "lattice_angstrom": [[-3.0562, -3.8053, -1.6994], [1.4568, -4.9273, 0.5551], [-2.4461, -3.0530, 3.3770]],
  "species": ["Te", "Ca", "Ni", "Ca"],
  "fractional_positions": [[0.7500, 0.7500, 0.7500], [0.0000, 0.0000, 0.0000], [0.5000, 0.5000, 0.5000], [0.2500, 0.2500, 0.2500]]
}

=====

[2]
{
  "formula": "CaNiTe2",
  "functional": "GGA-PBE",
  "state": "optimized geometry",
  "total_energy_ev_per_atom": -4.14,
  "sg": "P2/m (10)",
  "raw_formation_energy_ev_per_atom": -0.621,
  "lattice_angstrom": [[-3.4028, 1.1220, -1.4294], [-2.0997, -2.2181, 3.2574], [-0.7777, 4.2396, 5.1792]],
  "species": ["Ni", "Ca", "Te", "Te"],
  "fractional_positions": [[0.5000, 0.7500, 0.7500], [0.5000, 0.2500, 0.2500], [0.0000, 0.6947, 0.5210], [0.0000, 0.8053, 0.9790]]
}

=====

[3]
{
  "formula": "CaNiTe",
  "functional": "GGA-PBE",
  "state": "optimized geometry",
  "total_energy_ev_per_atom": -4.46,
  "sg": "P6_3/mmc (194)",
  "raw_formation_energy_ev_per_atom": -0.816,
  "lattice_angstrom": [[4.3202, 0.0001, -0.0001], [-0.0002, 8.3308, 0.0001], [2.1598, 0.0000, 3.7420]],
  "species": ["Ca", "Ni", "Te", "Ni", "Ca", "Te"],
  "fractional_positions": [[0.1361, 0.8279, 0.1286], [0.4694, 0.0777, 0.4618], [0.8027, 0.0780, 0.7952], [0.8029, 0.5776, 0.7953], [0.1361, 0.3279, 0.1286], [0.4695, 0.5780, 0.4620]]
}